1.
Cd2AgTe after structural relaxation, computed with PBE.

Geometry as extended XYZ:
```
4
Lattice="4.055 0.000 0.000 0.000 4.055 0.000 0.000 0.000 5.864" Properties=species:S:1:pos:R:3 pbc="T T T"
Cd 0.000 0.000 1.415
Cd 0.000 0.000 4.449
Ag 2.028 2.028 0.000
Te 2.028 2.028 2.932
```

Computed properties:
The formation energy without anion corrections comes out at 0.010 eV/atom. The value obtained for the total magnetic moment is 0.00 Bohr magnetons per cell.

2.
CdAgTe3 after structural relaxation, computed with PBE.

Geometry as extended XYZ:
```
5
Lattice="5.617 0.000 0.000 0.000 5.617 0.000 0.000 0.000 5.617" Properties=species:S:1:pos:R:3 pbc="T T T"
Cd 0.000 0.000 0.000
Ag 2.808 2.808 2.808
Te 0.000 0.000 2.808
Te 0.000 2.808 0.000
Te 2.808 0.000 0.000
```

Computed properties:
The formation energy without anion corrections comes out at 0.641 eV/atom. The value obtained for the total magnetic moment is 0.00 Bohr magnetons per cell.

3.
Cd2AgTe after structural relaxation, computed with PBE.

Geometry as extended XYZ:
```
4
Lattice="-2.159 2.159 5.136 2.159 -2.159 5.136 2.159 2.159 -5.136" Properties=species:S:1:pos:R:3 pbc="T T T"
Cd 0.000 0.000 0.000
Cd 0.000 2.159 2.568
Ag 0.000 0.000 5.136
Te 2.159 0.000 2.568
```

Computed properties:
The formation energy without anion corrections comes out at 0.086 eV/atom. The value obtained for the total magnetic moment is 0.00 Bohr magnetons per cell.

4.
CdAgTe2 after structural relaxation, computed with PBE.

Geometry as extended XYZ:
```
4
Lattice="1.647 0.951 11.674 -1.647 0.951 11.674 0.000 -1.902 11.674" Properties=species:S:1:pos:R:3 pbc="T T T"
Cd 0.000 0.000 0.000
Ag 0.000 0.000 17.510
Te 0.000 0.000 8.240
Te 0.000 0.000 26.781
```

Computed properties:
The formation energy without anion corrections comes out at 0.198 eV/atom. The value obtained for the total magnetic moment is 0.00 Bohr magnetons per cell.

5.
CdAgTe2 after structural relaxation, computed with PBE.

Geometry as extended XYZ:
```
4
Lattice="4.719 0.000 0.000 0.000 4.202 0.000 -1.673 0.000 5.554" Properties=species:S:1:pos:R:3 pbc="T T T"
Cd 0.000 0.000 0.000
Ag 1.523 0.000 2.777
Te -0.007 2.101 4.122
Te 3.052 2.101 1.432
```

Computed properties:
The formation energy without anion corrections comes out at -0.042 eV/atom. The value obtained for the total magnetic moment is 0.00 Bohr magnetons per cell.

6.
CdAg2Te2 after structural relaxation, computed with PBE.

Geometry as extended XYZ:
```
10
Lattice="8.985 0.000 0.000 0.000 8.985 0.000 0.000 0.000 3.183" Properties=species:S:1:pos:R:3 pbc="T T T"
Cd 0.000 0.000 0.000
Cd 4.493 4.493 0.000
Ag 1.129 3.364 1.592
Ag 3.364 7.856 1.592
Ag 5.621 1.129 1.592
Ag 7.856 5.621 1.592
Te 1.539 6.031 0.000
Te 2.954 1.539 0.000
Te 6.031 7.446 0.000
Te 7.446 2.954 0.000
```

Computed properties:
The formation energy without anion corrections comes out at 0.093 eV/atom. The value obtained for the total magnetic moment is 0.00 Bohr magnetons per cell.

7.
CdAgTe2 after structural relaxation, computed with PBE.

Geometry as extended XYZ:
```
4
Lattice="4.001 0.000 0.000 0.000 4.001 0.000 0.000 0.000 7.348" Properties=species:S:1:pos:R:3 pbc="T T T"
Cd 0.000 0.000 0.000
Ag 2.001 2.001 5.172
Te 0.000 0.000 4.459
Te 2.001 2.001 0.943
```

Computed properties:
The formation energy without anion corrections comes out at -0.079 eV/atom. The value obtained for the total magnetic moment is 0.00 Bohr magnetons per cell.

8.
CdAgTe4 after structural relaxation, computed with PBE.

Geometry as extended XYZ:
```
6
Lattice="0.000 4.528 4.528 4.528 0.000 4.528 4.528 4.528 0.000" Properties=species:S:1:pos:R:3 pbc="T T T"
Cd 0.000 0.000 0.000
Ag 2.264 2.264 2.264
Te 5.667 3.389 3.389
Te 3.389 5.667 3.389
Te 3.389 3.389 5.667
Te 5.667 5.667 5.667
```

Computed properties:
The formation energy without anion corrections comes out at 0.434 eV/atom. The value obtained for the total magnetic moment is 0.00 Bohr magnetons per cell.

9.
Cd2AgTe after structural relaxation, computed with PBE.

Geometry as extended XYZ:
```
4
Lattice="3.176 0.000 0.000 0.000 3.176 0.000 0.000 0.000 9.571" Properties=species:S:1:pos:R:3 pbc="T T T"
Cd 0.000 0.000 0.000
Cd 1.588 1.588 2.280
Ag 1.588 1.588 7.620
Te 0.000 0.000 5.223
```

Computed properties:
The formation energy without anion corrections comes out at 0.095 eV/atom. The value obtained for the total magnetic moment is 0.00 Bohr magnetons per cell.

10.
CdAg2Te2 after structural relaxation, computed with PBE.

Geometry as extended XYZ:
```
5
Lattice="-2.206 2.206 7.013 2.206 -2.206 7.013 2.206 2.206 -7.013" Properties=species:S:1:pos:R:3 pbc="T T T"
Cd 0.000 0.000 0.000
Ag 0.000 0.000 5.677
Ag 0.000 0.000 8.350
Te 2.206 0.000 3.507
Te 0.000 2.206 3.507
```

Computed properties:
The formation energy without anion corrections comes out at 0.238 eV/atom. The value obtained for the total magnetic moment is 0.00 Bohr magnetons per cell.

11.
CdAgTe2 after structural relaxation, computed with PBE.

Geometry as extended XYZ:
```
4
Lattice="3.487 0.000 0.000 0.000 3.487 0.000 0.000 0.000 8.440" Properties=species:S:1:pos:R:3 pbc="T T T"
Cd 0.000 0.000 0.000
Ag 0.000 0.000 4.220
Te 1.744 1.744 2.192
Te 1.744 1.744 6.248
```

Computed properties:
The formation energy without anion corrections comes out at 0.177 eV/atom. The value obtained for the total magnetic moment is 0.00 Bohr magnetons per cell.

12.
CdAgTe2 after structural relaxation, computed with PBE.

Geometry as extended XYZ:
```
4
Lattice="3.157 -4.211 0.000 3.157 4.211 0.000 -0.877 0.000 4.144" Properties=species:S:1:pos:R:3 pbc="T T T"
Cd 0.000 0.000 0.000
Ag 3.157 0.000 0.000
Te 2.719 2.026 2.072
Te 2.719 -2.026 2.072
```

Computed properties:
The formation energy without anion corrections comes out at -0.042 eV/atom. The value obtained for the total magnetic moment is 0.00 Bohr magnetons per cell.

13.
CdAgTe3 after structural relaxation, computed with PBE.

Geometry as extended XYZ:
```
5
Lattice="5.462 0.000 0.000 0.000 5.462 0.000 0.000 0.000 5.462" Properties=species:S:1:pos:R:3 pbc="T T T"
Cd 0.000 0.000 0.000
Ag 2.731 2.731 2.731
Te 0.000 2.731 2.731
Te 2.731 0.000 2.731
Te 2.731 2.731 0.000
```

Computed properties:
The formation energy without anion corrections comes out at 0.490 eV/atom. The value obtained for the total magnetic moment is 0.00 Bohr magnetons per cell.

14.
CdAgTeW2 after structural relaxation, computed with PBE.

Geometry as extended XYZ:
```
5
Lattice="5.065 0.000 0.000 0.000 5.065 0.000 0.000 0.000 4.948" Properties=species:S:1:pos:R:3 pbc="T T T"
Cd 0.000 0.000 0.000
Ag 0.000 0.000 2.474
Te 2.532 2.532 0.000
W 0.000 2.532 2.474
W 2.532 0.000 2.474
```

Computed properties:
The formation energy without anion corrections comes out at 2.059 eV/atom. The value obtained for the total magnetic moment is 5.10 Bohr magnetons per cell.

15.
ThCd6Ag2 after structural relaxation, computed with PBE.

Geometry as extended XYZ:
```
9
Lattice="7.656 -4.341 0.000 7.656 4.341 0.000 -0.603 0.000 3.113" Properties=species:S:1:pos:R:3 pbc="T T T"
Th 0.000 0.000 0.000
Cd 4.767 2.808 1.017
Cd 7.354 1.422 1.556
Cd 9.941 2.808 2.096
Cd 4.767 -2.808 1.017
Cd 7.354 -1.422 1.556
Cd 9.941 -2.808 2.096
Ag 4.882 0.000 2.685
Ag 9.827 0.000 0.428
```

Computed properties:
The value obtained for the total magnetic moment is 0.00 Bohr magnetons per cell. The formation energy from the elements comes out at -0.025 eV per atom.

16.
ThCd6Ag4 after structural relaxation, computed with PBE.

Geometry as extended XYZ:
```
11
Lattice="7.993 0.000 0.000 -3.997 6.922 0.000 0.000 0.000 4.407" Properties=species:S:1:pos:R:3 pbc="T T T"
Th 0.000 0.000 0.000
Cd 0.000 2.765 2.204
Cd -1.602 5.540 2.204
Cd 3.997 0.494 0.000
Cd 2.426 3.214 0.000
Cd 1.602 5.540 2.204
Cd 5.567 3.214 0.000
Ag 0.000 4.615 0.000
Ag 2.377 1.373 2.204
Ag 5.616 1.373 2.204
Ag 3.997 4.177 2.204
```

Computed properties:
The value obtained for the total magnetic moment is 0.00 Bohr magnetons per cell. The formation energy from the elements comes out at -0.035 eV per atom.

17.
ThCd5Ag2 after structural relaxation, computed with PBE.

Geometry as extended XYZ:
```
8
Lattice="-1.695 4.604 5.762 1.695 -4.604 5.762 1.695 4.604 -5.762" Properties=species:S:1:pos:R:3 pbc="T T T"
Th 0.000 0.000 0.000
Cd 1.695 2.558 -1.564
Cd 1.695 2.558 1.564
Cd 0.000 4.604 0.000
Cd 0.000 2.046 4.198
Cd 0.000 2.046 7.327
Ag 1.695 0.000 2.857
Ag 0.000 4.604 2.905
```

Computed properties:
The value obtained for the total magnetic moment is 0.00 Bohr magnetons per cell. The formation energy from the elements comes out at -0.088 eV per atom.

18.
Th2Cd6Ag after structural relaxation, computed with PBE.

Geometry as extended XYZ:
```
9
Lattice="8.908 0.000 0.000 -4.454 7.715 0.000 0.000 0.000 3.210" Properties=species:S:1:pos:R:3 pbc="T T T"
Th 0.000 5.143 0.000
Th 4.454 2.572 0.000
Cd -1.432 2.480 1.605
Cd -3.022 5.234 1.605
Cd 2.864 0.000 1.605
Cd 1.432 2.480 1.605
Cd 6.044 0.000 1.605
Cd 3.022 5.234 1.605
Ag 0.000 0.000 0.000
```

Computed properties:
The value obtained for the total magnetic moment is 0.00 Bohr magnetons per cell. The formation energy from the elements comes out at -0.091 eV per atom.

19.
ThCd6Ag3 after structural relaxation, computed with PBE.

Geometry as extended XYZ:
```
20
Lattice="7.524 0.000 0.000 0.000 7.301 0.000 -4.353 0.000 8.121" Properties=species:S:1:pos:R:3 pbc="T T T"
Th 0.000 0.000 0.000
Th -2.177 3.651 4.060
Cd -1.791 0.083 5.429
Cd 0.385 3.568 1.369
Cd -1.992 4.981 7.174
Cd 0.185 5.971 3.114
Cd 2.454 1.525 2.073
Cd 0.278 2.126 6.133
Cd 2.893 5.176 1.988
Cd 0.716 5.776 6.048
Cd 2.986 1.330 5.007
Cd 5.162 2.321 0.947
Cd 2.785 3.733 6.752
Cd 4.962 7.219 2.692
Ag -0.156 1.438 3.233
Ag -2.333 2.213 7.293
Ag 3.762 0.000 0.000
Ag 1.585 3.651 4.060
Ag 5.503 5.088 0.828
Ag 3.326 5.864 4.888
```

Computed properties:
The value obtained for the total magnetic moment is 0.00 Bohr magnetons per cell. The formation energy from the elements comes out at -0.057 eV per atom.

20.
Th2Cd2Ag after structural relaxation, computed with PBE.

Geometry as extended XYZ:
```
10
Lattice="5.548 -2.517 0.000 5.548 2.517 0.000 -2.806 0.000 9.328" Properties=species:S:1:pos:R:3 pbc="T T T"
Th -0.375 0.000 3.330
Th 1.689 0.000 0.701
Th 6.601 0.000 8.627
Th 8.665 0.000 5.998
Cd 2.963 0.000 3.769
Cd 4.957 0.000 1.300
Cd 3.333 0.000 8.027
Cd 5.327 0.000 5.559
Ag 0.896 0.000 6.447
Ag 7.394 0.000 2.880
```

Computed properties:
The value obtained for the total magnetic moment is 0.00 Bohr magnetons per cell. The formation energy from the elements comes out at -0.090 eV per atom.

21.
ThCd5Ag4 after structural relaxation, computed with PBE.

Geometry as extended XYZ:
```
10
Lattice="3.434 0.000 0.000 0.000 3.434 0.000 0.000 0.000 17.839" Properties=species:S:1:pos:R:3 pbc="T T T"
Th 0.000 0.000 0.000
Cd 1.717 1.717 2.330
Cd 1.717 1.717 5.625
Cd 1.717 1.717 8.919
Cd 1.717 1.717 12.213
Cd 1.717 1.717 15.509
Ag 0.000 0.000 3.962
Ag 0.000 0.000 7.270
Ag 0.000 0.000 10.569
Ag 0.000 0.000 13.877
```

Computed properties:
The value obtained for the total magnetic moment is 0.00 Bohr magnetons per cell. The formation energy from the elements comes out at -0.068 eV per atom.

22.
ThCd2Ag3 after structural relaxation, computed with PBE.

Geometry as extended XYZ:
```
12
Lattice="4.797 0.000 0.000 -2.399 4.155 0.000 0.000 0.000 13.376" Properties=species:S:1:pos:R:3 pbc="T T T"
Th 0.000 0.000 3.344
Th 0.000 0.000 10.032
Cd 0.000 2.770 1.104
Cd 0.000 2.770 5.584
Cd 2.399 1.385 7.792
Cd 2.399 1.385 12.273
Ag 0.000 0.000 0.000
Ag 0.000 0.000 6.688
Ag 0.000 2.770 8.543
Ag 0.000 2.770 11.521
Ag 2.399 1.385 1.855
Ag 2.399 1.385 4.833
```

Computed properties:
The value obtained for the total magnetic moment is 0.00 Bohr magnetons per cell. The formation energy from the elements comes out at -0.098 eV per atom.

23.
Th2CdAg6 after structural relaxation, computed with PBE.

Geometry as extended XYZ:
```
9
Lattice="6.362 0.000 0.000 -3.181 5.510 0.000 0.000 0.000 5.768" Properties=species:S:1:pos:R:3 pbc="T T T"
Th 0.000 3.673 1.953
Th 3.181 1.837 3.815
Cd 0.000 0.000 2.884
Ag 0.000 2.042 4.791
Ag -1.412 4.489 4.791
Ag 1.769 1.021 0.977
Ag 1.412 4.489 4.791
Ag 4.593 1.021 0.977
Ag 3.181 3.467 0.977
```

Computed properties:
The value obtained for the total magnetic moment is 0.00 Bohr magnetons per cell. The formation energy from the elements comes out at -0.041 eV per atom.

24.
ThCd4Ag2 after structural relaxation, computed with PBE.

Geometry as extended XYZ:
```
7
Lattice="2.467 1.424 7.757 -2.467 1.424 7.757 0.000 -2.849 7.757" Properties=species:S:1:pos:R:3 pbc="T T T"
Th 0.000 0.000 0.000
Cd 0.000 0.000 3.249
Cd 0.000 0.000 9.525
Cd 0.000 0.000 13.747
Cd 0.000 0.000 20.023
Ag 0.000 0.000 6.143
Ag 0.000 0.000 17.129
```

Computed properties:
The value obtained for the total magnetic moment is 0.00 Bohr magnetons per cell. The formation energy from the elements comes out at -0.080 eV per atom.

25.
Th3Cd3Ag8 after structural relaxation, computed with PBE.

Geometry as extended XYZ:
```
14
Lattice="-2.379 4.820 6.868 2.379 -4.820 6.868 2.379 4.820 -6.868" Properties=species:S:1:pos:R:3 pbc="T T T"
Th 0.000 0.000 0.000
Th 0.000 0.000 3.922
Th 0.000 0.000 9.814
Cd 2.379 3.068 0.000
Cd 0.000 4.820 0.000
Cd 0.000 1.752 6.868
Ag 2.379 -1.349 2.173
Ag 2.379 -2.059 4.936
Ag 2.379 1.349 2.173
Ag 0.000 2.761 1.932
Ag 2.379 2.059 4.936
Ag 0.000 3.471 4.695
Ag 0.000 6.879 1.932
Ag 0.000 6.169 4.695
```

Computed properties:
The value obtained for the total magnetic moment is 0.00 Bohr magnetons per cell. The formation energy from the elements comes out at -0.081 eV per atom.

Results for calculated density: 7.92 5.65 7.98 7.19 7.17 7.54 6.71 6.53 7.92 7.09 7.69 7.17 6.14 9.36 9.01 9.11 9.32 9.38 9.16 10.16 9.67 9.72 10.05 9.11 10.00 (in Mg/m³, following the order of the records).